First-principles (PBE-GGA) data for crystalline NaTi2Ag2 at its relaxed geometry, as listed in Alexandria.

Results
ΔH_f (0 K), eV/atom: 0.30
Crystal system: tetragonal
ΔE to the lowest computed polymorph, eV/f.u.: 0.294
Energy, eV per formula unit: -21.3

Cell lengths 3.794, 3.794, 14.189 Å; angles 90.00, 90.00, 90.00 degrees
Sites, in units of the cell vectors:
1 Na 0.000 0.000 0.000
2 Na 0.500 0.500 0.500
3 Ti 0.000 0.500 0.250
4 Ti 0.000 0.500 0.750
5 Ti 0.500 0.000 0.250
6 Ti 0.500 0.000 0.750
7 Ag 0.000 0.000 0.399
8 Ag 0.000 0.000 0.601
9 Ag 0.500 0.500 0.101
10 Ag 0.500 0.500 0.899